Record 1
VASP calculation (PBE) on a relaxed TmZrTlCu crystal.

Results
SG = No. 216

Lattice parameters (Å, degrees): 4.9884 4.9884 4.9884 60.00 60.00 60.00
Closest atoms and distances in Å follow each position.
Atoms (fractional coordinates):
Tm1 0.0000 0.0000 0.0000  4 Tl 3.05, 4 Cu 3.05
Zr1 0.5000 0.5000 0.5000  4 Tl 3.05, 4 Cu 3.05
Tl1 0.7500 0.7500 0.7500  4 Zr 3.05, 4 Tm 3.05
Cu1 0.2500 0.2500 0.2500  4 Zr 3.05, 4 Tm 3.05

***

Record 2
VASP calculation (PBE) on a relaxed TlVCu3 crystal.

Results
SG = No. 221

Lattice parameters (Å, degrees): 4.7357 4.7357 4.7357 90.00 90.00 90.00
Closest atoms and distances in Å follow each position.
Atoms (fractional coordinates):
Tl1 0.0000 0.0000 0.0000  12 Cu 3.35
V1 0.5000 0.5000 0.5000  6 Cu 2.37
Cu1 0.0000 0.5000 0.5000  2 V 2.37
Cu2 0.5000 0.0000 0.5000  2 V 2.37
Cu3 0.5000 0.5000 0.0000  2 V 2.37

***

Record 3
VASP calculation (PBE) on a relaxed Tl2VCu2 crystal.

Results
SG = No. 127

Lattice parameters (Å, degrees): 7.0686 7.0686 3.7618 90.00 90.00 90.00
Closest atoms and distances in Å follow each position.
Atoms (fractional coordinates):
Tl1 0.1794 0.3206 0.0000  6 Cu 2.73-2.88
Tl2 0.3206 0.8206 0.0000  6 Cu 2.73-2.88
Tl3 0.6794 0.1794 0.0000  6 Cu 2.73-2.88
Tl4 0.8206 0.6794 0.0000  6 Cu 2.73-2.88
V1 0.0000 0.0000 0.5000  4 Cu 2.80
V2 0.5000 0.5000 0.5000  4 Cu 2.80
Cu1 0.1232 0.6232 0.5000  1 Cu 2.46, 2 Tl 2.73
Cu2 0.3768 0.1232 0.5000  1 Cu 2.46, 2 Tl 2.73
Cu3 0.6232 0.8768 0.5000  1 Cu 2.46, 2 Tl 2.73
Cu4 0.8768 0.3768 0.5000  1 Cu 2.46, 2 Tl 2.73

***

Record 4
VASP calculation (PBE) on a relaxed Tl2VCu crystal.

Results
SG = No. 225

Lattice parameters (Å, degrees): 4.8078 4.8078 4.8078 60.00 60.00 60.00
Closest atoms and distances in Å follow each position.
Atoms (fractional coordinates):
Tl1 0.2500 0.2500 0.2500  4 Cu 2.94, 4 V 2.94
Tl2 0.7500 0.7500 0.7500  4 V 2.94, 4 Cu 2.94
V1 0.0000 0.0000 0.0000  8 Tl 2.94
Cu1 0.5000 0.5000 0.5000  8 Tl 2.94

***

Record 5
VASP calculation (PBE) on a relaxed Tl2VCu2 crystal.

Results
SG = No. 139

Lattice parameters (Å, degrees): 5.3018 5.3018 5.3018 121.92 121.92 86.70
Closest atoms and distances in Å follow each position.
Atoms (fractional coordinates):
Tl1 0.2500 0.7500 0.5000  4 Cu 2.68
Tl2 0.7500 0.2500 0.5000  4 Cu 2.68
V1 0.0000 0.0000 0.0000  2 Cu 2.68
Cu1 0.3480 0.3480 0.0000  1 Cu 2.34
Cu2 0.6520 0.6520 0.0000  1 Cu 2.34

***

Record 6
VASP calculation (PBE) on a relaxed TlV3Cu crystal.

Results
SG = No. 221

Lattice parameters (Å, degrees): 4.4663 4.4663 4.4663 90.00 90.00 90.00
Closest atoms and distances in Å follow each position.
Atoms (fractional coordinates):
Tl1 0.0000 0.0000 0.0000  12 V 3.16
V1 0.0000 0.5000 0.5000  2 Cu 2.23
V2 0.5000 0.0000 0.5000  2 Cu 2.23
V3 0.5000 0.5000 0.0000  2 Cu 2.23
Cu1 0.5000 0.5000 0.5000  6 V 2.23

***

Record 7
VASP calculation (PBE) on a relaxed TlV3Cu crystal.

Results
SG = No. 221

Lattice parameters (Å, degrees): 5.0920 5.0920 5.0920 90.00 90.00 90.00
Closest atoms and distances in Å follow each position.
Atoms (fractional coordinates):
Tl1 0.0000 0.0000 0.0000  6 V 2.55
V1 0.0000 0.0000 0.5000  2 Tl 2.55
V2 0.0000 0.5000 0.0000  2 Tl 2.55
V3 0.5000 0.0000 0.0000  2 Tl 2.55
Cu1 0.5000 0.5000 0.5000  12 V 3.60

***

Record 8
VASP calculation (PBE) on a relaxed Tl2VCu crystal.

Results
SG = No. 122

Lattice parameters (Å, degrees): 6.1383 6.1383 6.1383 104.13 104.13 120.79
Closest atoms and distances in Å follow each position.
Atoms (fractional coordinates):
Tl1 0.1018 0.6250 0.9768  2 Cu 2.66, 2 V 2.90
Tl2 0.3750 0.3518 0.4768  2 Cu 2.66, 2 V 2.90
Tl3 0.6482 0.1250 0.0232  2 Cu 2.66, 2 V 2.90
Tl4 0.8750 0.8982 0.5232  2 Cu 2.66, 2 V 2.90
V1 0.2500 0.7500 0.5000  4 Tl 2.90, 2 Cu 3.03
V2 0.5000 0.5000 0.0000  4 Tl 2.90, 2 Cu 3.03
Cu1 0.0000 0.0000 0.0000  4 Tl 2.66
Cu2 0.7500 0.2500 0.5000  4 Tl 2.66

***

| no. | energy of formation from the pure elements (eV per atom) |
| --- | --- |
| 1 | -0.08 |
| 2 | 1.09 |
| 3 | 0.50 |
| 4 | 0.54 |
| 5 | 0.64 |
| 6 | 1.05 |
| 7 | 1.99 |
| 8 | 0.66 |